# Sc2CrAs

A relaxed structure of Sc2CrAs (GGA-PBE, Alexandria via LeMat-Bulk).

Output
The energy of formation is -0.3163 eV per atom. The energy is -28.201 eV for the cell shown. Its space group is No. 119. Its size of the total moment is 2.9 μB/f.u.

abc: 5.4985 5.4985 5.4985
angles: 137.82 137.82 61.18
With the nearest neighbours (Å) after each atom.
Fractional coordinates of all 4 atoms:
Sc1 0.2500 0.7500 0.5000  4 Cr 2.80, 4 Sc 3.08, 4 As 3.08
Sc2 0.0000 0.0000 0.0000  4 As 2.80, 4 Sc 3.08, 4 Cr 3.08
Cr1 0.7500 0.2500 0.5000  8 Sc 2.80-3.08, 4 As 3.08
As1 0.5000 0.5000 0.0000  8 Sc 2.80-3.08, 4 Cr 3.08

# KPmI

A relaxed structure of KPmI (GGA-PBE, Alexandria via LeMat-Bulk).

Output
The energy is -17.718 eV for the cell shown. Its space group is No. 187. Its size of the total moment is 0.7 μB/f.u. For the uncorrected formation energy, the calculation gives -0.4869 eV/atom.

abc: 4.0829 4.0824 16.7793
angles: 90.00 90.00 120.00
With the nearest neighbours (Å) after each atom.
Fractional coordinates of all 6 atoms:
I1 0.6108 0.2216 0.0000  6 Pm 3.25
I2 0.2780 0.5560 0.5000  6 K 3.42
K1 0.6114 0.2228 0.3526  3 I 3.42
K2 0.6114 0.2228 0.6474  3 I 3.42
Pm1 0.2775 0.5549 0.1332  3 I 3.25
Pm2 0.2775 0.5549 0.8668  3 I 3.25

# PbAuSeBr2

A relaxed structure of PbAuSeBr2 (GGA-PBE, Alexandria via LeMat-Bulk).

Output
The energy is -12.190 eV for the cell shown. Its space group is No. 123. Its size of the total moment is 0.3 μB/f.u. For the uncorrected formation energy, the calculation gives 0.3252 eV/atom.

abc: 5.6407 5.6407 5.6133
angles: 90.00 90.00 90.00
With the nearest neighbours (Å) after each atom.
Fractional coordinates of all 5 atoms:
Br1 0.0000 0.5000 0.0000  2 Pb 2.82
Br2 0.5000 0.0000 0.0000  2 Pb 2.82
Pb1 0.0000 0.0000 0.0000  2 Se 2.81, 4 Br 2.82
Se1 0.0000 0.0000 0.5000  2 Pb 2.81
Au1 0.5000 0.5000 0.5000  8 Br 3.98, 4 Se 3.99

# K2ScPt

A relaxed structure of K2ScPt (GGA-PBE, Alexandria via LeMat-Bulk).

Output
The energy of formation is -0.2434 eV per atom. The energy is -15.541 eV for the cell shown. Its space group is No. 12. The excess energy over the best structure of this formula in the dataset comes out at 20 meV per atom. Its size of the total moment is 0.0 μB/f.u.

abc: 10.5726 10.5726 4.0576
angles: 79.13 79.13 19.29
With the nearest neighbours (Å) after each atom.
Fractional coordinates of all 4 atoms:
K1 0.4004 0.4004 0.6031  2 K 3.54, 2 Pt 3.55, 2 Sc 3.68-3.69
K2 0.0996 0.0996 0.8969  2 K 3.54, 2 Pt 3.55, 2 Sc 3.68-3.69
Sc1 0.2500 0.2500 0.2500  4 Pt 2.69
Pt1 0.7500 0.7500 0.7500  4 Sc 2.69